Density functional theory data (PBE) for Y2Cu3 after structural relaxation.

Values from the calculation:
The space group is Cmcm (63). The value obtained for the density of states at the Fermi level is 13.1 states/eV/cell. The formation energy is -0.090 eV/atom.

a = 4.7246 Å, b = 4.7246 Å, c = 17.7958 Å
α = 90.00°, β = 90.00°, γ = 89.97°
With the nearest neighbours (Å) after each atom.
Sites, in units of the cell vectors:
Y (0.0004, 0.9996, 0.0978)  5 Cu 2.85-2.94
Y (0.0004, 0.9996, 0.4022)  5 Cu 2.85-2.94
Y (0.9996, 0.0004, 0.5978)  5 Cu 2.85-2.94
Y (0.9996, 0.0004, 0.9022)  5 Cu 2.85-2.94
Y (0.4956, 0.5044, 0.6546)  6 Cu 2.75-2.99
Y (0.4956, 0.5044, 0.8454)  6 Cu 2.75-2.99
Y (0.5044, 0.4956, 0.1546)  6 Cu 2.75-2.99
Y (0.5044, 0.4956, 0.3454)  6 Cu 2.75-2.99
Cu (0.0000, 0.5000, 0.0000)  2 Cu 2.36
Cu (0.0000, 0.5000, 0.5000)  2 Cu 2.36
Cu (0.0011, 0.6275, 0.7500)  3 Cu 2.41-2.49
Cu (0.1358, 0.8642, 0.2500)  4 Cu 2.41-2.49
Cu (0.3725, 0.9989, 0.7500)  3 Cu 2.41-2.49
Cu (0.5000, 0.0000, 0.0000)  2 Cu 2.36
Cu (0.5000, 0.0000, 0.5000)  2 Cu 2.36
Cu (0.5000, 0.5000, 0.0000)  4 Cu 2.36
Cu (0.5000, 0.5000, 0.5000)  4 Cu 2.36
Cu (0.6275, 0.0011, 0.2500)  3 Cu 2.41-2.49
Cu (0.8642, 0.1358, 0.7500)  4 Cu 2.41-2.49
Cu (0.9989, 0.3725, 0.2500)  3 Cu 2.41-2.49



Density functional theory data (PBE) for CaVW3 after structural relaxation.

Values from the calculation:
The value obtained for the excess energy over the best structure of this formula in the dataset is 0.00 eV per formula unit. The space group is Pm-3m (221). The value obtained for the density of states at the Fermi level is 6.1 states/eV/cell. The formation energy is 1.407 eV/atom.

a = 4.6729 Å, b = 4.6729 Å, c = 4.6729 Å
α = 90.00°, β = 90.00°, γ = 90.00°
With the nearest neighbours (Å) after each atom.
Sites, in units of the cell vectors:
Ca (0.0000, 0.0000, 0.0000)  12 W 3.30
V (0.5000, 0.5000, 0.5000)  6 W 2.34
W (0.0000, 0.5000, 0.5000)  2 V 2.34
W (0.5000, 0.0000, 0.5000)  2 V 2.34
W (0.5000, 0.5000, 0.0000)  2 V 2.34



Density functional theory data (PBE) for Rb8Sb2Se after structural relaxation.

Values from the calculation:
Its uncorrected formation energy is -0.521 eV/atom. The space group is Immm (71). The value obtained for the density of states at the Fermi level is 1.6 states/eV/cell.

a = 10.8864 Å, b = 10.8864 Å, c = 10.8864 Å
α = 146.66°, β = 134.62°, γ = 57.46°
With the nearest neighbours (Å) after each atom.
Sites, in units of the cell vectors:
Rb (0.1139, 0.3590, 0.7550)  1 Se 3.44, 1 Rb 3.67, 2 Sb 3.80
Rb (0.1995, 0.1995, 0.0000)  6 Rb 3.67-3.95, 2 Sb 3.92
Rb (0.2589, 0.0000, 0.2589)  2 Se 3.80, 2 Sb 3.92, 5 Rb 4.05-4.12
Rb (0.3960, 0.6410, 0.7550)  1 Se 3.44, 1 Rb 3.67, 2 Sb 3.80
Rb (0.6040, 0.3590, 0.2450)  1 Se 3.44, 1 Rb 3.67, 2 Sb 3.80
Rb (0.7411, 0.0000, 0.7411)  2 Se 3.80, 2 Sb 3.92, 5 Rb 4.05-4.12
Rb (0.8005, 0.8005, 0.0000)  6 Rb 3.67-3.95, 2 Sb 3.92
Rb (0.8861, 0.6410, 0.2450)  1 Se 3.44, 1 Rb 3.67, 2 Sb 3.80
Sb (0.3239, 0.8239, 0.5000)  12 Rb 3.80-4.22
Sb (0.6761, 0.1761, 0.5000)  12 Rb 3.80-4.22
Se (0.0000, 0.5000, 0.5000)  8 Rb 3.44-3.80